Crystalline GdUSi at its relaxed geometry. Source: the Open Quantum Materials Database, functional PBE-GGA.

a = 4.8310 Å, b = 4.8310 Å, c = 4.8310 Å
α = 60.00°, β = 60.00°, γ = 60.00°
Sites, in units of the cell vectors:
Gd: 0.2500 0.2500 0.2500
Si: 0.0000 0.0000 0.0000
U: 0.7500 0.7500 0.7500

- total DFT energy (no corrections) (eV per atom) = -6.959
- ρ (Mg/m³) = 8.82
- polymorph energy (0 for the lowest one) (eV/atom) = 0.000